Entry 1:
DFT (PBE) results for an optimized crystal structure of KRbRh2Br.

Geometry as POSCAR:
```
KRbRh2Br
1.0
4.990 0.000 0.000
0.000 4.990 0.000
0.000 0.000 9.163
K Rb Rh Br
1 1 2 1
Cartesian
0.000 0.000 0.000
0.000 0.000 4.581
0.000 2.495 4.581
2.495 0.000 4.581
2.495 2.495 0.000
```

Its uncorrected formation energy is 1135 meV/atom.


Entry 2:
DFT (PBE) results for an optimized crystal structure of PmErPd.

Geometry as POSCAR:
```
PmErPd
1.0
7.106 0.000 0.000
0.000 5.946 0.000
-6.701 0.000 8.214
Pm Er Pd
4 4 4
Cartesian
-1.161 0.829 3.143
-4.511 2.143 7.250
4.916 3.802 0.964
1.565 5.116 5.071
-1.934 3.760 5.178
1.416 5.158 1.071
-1.012 0.787 7.143
2.339 2.186 3.036
-0.116 3.804 2.975
-3.467 5.115 7.082
3.872 0.831 1.132
0.521 2.142 5.239
```

As for the energy relative to the elements: -0.4625 eV/atom.


Which V belongs to each record? In order, 45.62, 28.92 Å³/atom.